# 1
Here is BaRe2GeOs after structural relaxation from Alexandria via LeMat-Bulk. Energies are from PBE.

Cell: 4.9282 4.9282 5.1034 Å, 90.00 90.00 90.00°
Last column: nearest neighbours and their distance in Å.
Fractional coordinates of all 5 atoms:
Ba 0.0000 0.0000 0.0000  4 Re 2.46, 2 Ge 2.55
Re 0.0000 0.5000 0.0000  2 Ba 2.46
Re 0.5000 0.0000 0.0000  2 Ba 2.46
Ge 0.0000 0.0000 0.5000  2 Ba 2.55
Os 0.5000 0.5000 0.5000  4 Ge 3.48, 8 Re 3.55

Calculated values
Density of states at the Fermi level in states/eV per cell: 9.0
ΔE_f in meV per atom: 3984

---

# 2
Here is BaSnGe2Os after structural relaxation from Alexandria via LeMat-Bulk. Energies are from PBE.

Cell: 5.3530 5.3530 5.0716 Å, 90.00 90.00 90.00°
Last column: nearest neighbours and their distance in Å.
Fractional coordinates of all 5 atoms:
Ba 0.0000 0.0000 0.0000  8 Ge 3.69, 4 Os 3.79
Sn 0.5000 0.5000 0.5000  2 Os 2.54, 4 Ge 2.68
Ge 0.0000 0.5000 0.5000  2 Sn 2.68
Ge 0.5000 0.0000 0.5000  2 Sn 2.68
Os 0.5000 0.5000 0.0000  2 Sn 2.54

Calculated values
Density of states at the Fermi level in states/eV per cell: 3.9
ΔE_f in meV per atom: 786

---

# 3
Here is BaGeTe2Os after structural relaxation from Alexandria via LeMat-Bulk. Energies are from PBE.

Cell: 6.4186 6.4186 5.4119 Å, 90.00 90.00 90.00°
Last column: nearest neighbours and their distance in Å.
Fractional coordinates of all 5 atoms:
Ba 0.0000 0.0000 0.0000  2 Os 2.71
Ge 0.5000 0.5000 0.5000  8 Te 4.20, 4 Os 4.54
Te 0.0000 0.5000 0.0000  2 Ba 3.21
Te 0.5000 0.0000 0.0000  2 Ba 3.21
Os 0.0000 0.0000 0.5000  2 Ba 2.71

Calculated values
Density of states at the Fermi level in states/eV per cell: 3.8

---

# 4
Here is Ba2VGeOs after structural relaxation from Alexandria via LeMat-Bulk. Energies are from PBE.

Cell: 6.1589 6.1589 4.7200 Å, 90.00 90.00 90.00°
Last column: nearest neighbours and their distance in Å.
Fractional coordinates of all 5 atoms:
Ba 0.0000 0.5000 0.0000  2 Ge 3.08
Ba 0.5000 0.0000 0.0000  2 Ge 3.08
V 0.0000 0.0000 0.5000  2 Ge 2.36
Ge 0.0000 0.0000 0.0000  2 V 2.36
Os 0.5000 0.5000 0.5000  8 Ba 3.88

Calculated values
Density of states at the Fermi level in states/eV per cell: 11.2
ΔE_f in meV per atom: 1325

---

| no. | final energy (Ry per atom) | total magnetization (μB per atom) |
| --- | --- | --- |
| 1 | -0.334 | 0.000 |
| 2 | -0.330 | 0.018 |
| 3 | -0.227 | 0.641 |
| 4 | -0.326 | 0.493 |